DFT (PBE-GGA) results for crystalline Pr2TiSi4Ir3 at its relaxed geometry.

Results
DOS(E_F) (states/eV/f.u.): 8.3
Total magnetic moment (μB per atom): 0.000
Symmetry: No. 115
Electronic total energy (eV for the cell shown): -74.86
Crystal system: tetragonal

The structure in extended XYZ format:
```
10
Lattice="4.176 0.000 0.000 0.000 4.176 0.000 0.000 0.000 10.374" Properties=species:S:1:pos:R:3 pbc="T T T"
Pr 0.000 2.088 2.513
Pr 2.088 0.000 7.861
Ti 0.000 0.000 5.187
Si 0.000 0.000 0.000
Si 0.000 2.088 6.668
Si 2.088 0.000 3.706
Si 2.088 2.088 0.000
Ir 0.000 2.088 9.132
Ir 2.088 0.000 1.241
Ir 2.088 2.088 5.187
```